Compound: Dy8Tm4Mg
Source: Alexandria
Functional: PBE
Structure: relaxed

Structure (CIF):
```
data_Dy8Tm4Mg
_cell_length_a 10.4023
_cell_length_b 10.4023
_cell_length_c 10.4023
_cell_angle_alpha 39.60
_cell_angle_beta 39.60
_cell_angle_gamma 39.60
_space_group_name_H-M_alt 'P 1'
_space_group_IT_number 1
loop_
_space_group_symop_operation_xyz
'x,y,z'
loop_
_atom_site_label
_atom_site_fract_x
_atom_site_fract_y
_atom_site_fract_z
_atom_site_occupancy
Dy1 0.2127 0.2127 0.2127 1
Dy2 0.2226 0.7460 0.7460 1
Dy3 0.2540 0.2540 0.7774 1
Dy4 0.2540 0.7774 0.2540 1
Dy5 0.7460 0.2226 0.7460 1
Dy6 0.7460 0.7460 0.2226 1
Dy7 0.7774 0.2540 0.2540 1
Dy8 0.7873 0.7873 0.7873 1
Tm1 0.0000 0.0000 0.0000 1
Tm2 0.0000 0.5000 0.5000 1
Tm3 0.5000 0.0000 0.5000 1
Tm4 0.5000 0.5000 0.0000 1
Mg1 0.5000 0.5000 0.5000 1
```

Properties
The total magnetization is 0.0 μB/f.u. The crystal system is trigonal. The space group is No. 166. Its formation energy is 199 meV/atom.


Compound: Cs2SnCl6O
Source: Alexandria
Functional: PBE
Structure: relaxed

Structure (CIF):
```
data_Cs2SnCl6O
_cell_length_a 7.7282
_cell_length_b 7.7282
_cell_length_c 7.7282
_cell_angle_alpha 122.05
_cell_angle_beta 122.05
_cell_angle_gamma 86.48
_space_group_name_H-M_alt 'P 1'
_space_group_IT_number 1
loop_
_space_group_symop_operation_xyz
'x,y,z'
loop_
_atom_site_label
_atom_site_fract_x
_atom_site_fract_y
_atom_site_fract_z
_atom_site_occupancy
Cs1 0.2500 0.7500 0.5000 1
Cs2 0.7500 0.2500 0.5000 1
Sn1 0.0000 0.0000 0.0000 1
Cl1 0.2190 0.2190 0.0000 1
Cl2 0.2349 0.2349 0.4698 1
Cl3 0.2349 0.7651 0.0000 1
Cl4 0.7651 0.2349 0.0000 1
Cl5 0.7651 0.7651 0.5302 1
Cl6 0.7810 0.7810 0.0000 1
O1 0.5000 0.5000 0.0000 1
```

Properties
The total magnetization is 2.0 μB/f.u. The crystal system is tetragonal. The space group is No. 139. Its uncorrected formation energy is -1.080 eV/atom.


Compound: BeSbAs2
Source: Alexandria
Functional: PBE
Structure: relaxed

Structure (CIF):
```
data_BeSbAs2
_cell_length_a 3.4127
_cell_length_b 4.1505
_cell_length_c 11.2118
_cell_angle_alpha 90.00
_cell_angle_beta 90.00
_cell_angle_gamma 90.00
_space_group_name_H-M_alt 'P 1'
_space_group_IT_number 1
loop_
_space_group_symop_operation_xyz
'x,y,z'
loop_
_atom_site_label
_atom_site_fract_x
_atom_site_fract_y
_atom_site_fract_z
_atom_site_occupancy
Be1 0.0000 0.0000 0.0000 1
Be2 0.5000 0.5000 0.5000 1
Sb1 0.0000 0.5000 0.6974 1
Sb2 0.5000 0.0000 0.1974 1
As1 0.0000 0.0000 0.5156 1
As2 0.0000 0.5000 0.3555 1
As3 0.5000 0.0000 0.8555 1
As4 0.5000 0.5000 0.0156 1
```

Properties
The total magnetization is 0.0 μB/f.u. The crystal system is orthorhombic. The space group is No. 44. The distance to the lowest polymorph of the same formula is 266.4 meV/atom. Its uncorrected formation energy is 0.295 eV/atom.


Compound: KCo2Si2
Source: Alexandria
Functional: PBE
Structure: relaxed

Structure (CIF):
```
data_KCo2Si2
_cell_length_a 7.3951
_cell_length_b 7.3951
_cell_length_c 2.5830
_cell_angle_alpha 90.00
_cell_angle_beta 90.00
_cell_angle_gamma 90.00
_space_group_name_H-M_alt 'P 1'
_space_group_IT_number 1
loop_
_space_group_symop_operation_xyz
'x,y,z'
loop_
_atom_site_label
_atom_site_fract_x
_atom_site_fract_y
_atom_site_fract_z
_atom_site_occupancy
K1 0.0000 0.0000 0.0000 1
K2 0.5000 0.5000 0.0000 1
Co1 0.1370 0.3630 0.0000 1
Co2 0.3630 0.8630 0.0000 1
Co3 0.6370 0.1370 0.0000 1
Co4 0.8630 0.6370 0.0000 1
Si1 0.1396 0.6396 0.5000 1
Si2 0.3604 0.1396 0.5000 1
Si3 0.6396 0.8604 0.5000 1
Si4 0.8604 0.3604 0.5000 1
```

Properties
The total magnetization is 0.0 μB/f.u. The crystal system is tetragonal. The space group is No. 127. The distance to the lowest polymorph of the same formula is 0.0 meV/atom. Its uncorrected formation energy is 0.031 eV/atom.


Compound: BaAl2TlBr8
Source: Alexandria
Functional: PBE
Structure: relaxed

Structure (CIF):
```
data_BaAl2TlBr8
_cell_length_a 7.3254
_cell_length_b 7.3254
_cell_length_c 10.0891
_cell_angle_alpha 90.00
_cell_angle_beta 90.00
_cell_angle_gamma 120.00
_space_group_name_H-M_alt 'P 1'
_space_group_IT_number 1
loop_
_space_group_symop_operation_xyz
'x,y,z'
loop_
_atom_site_label
_atom_site_fract_x
_atom_site_fract_y
_atom_site_fract_z
_atom_site_occupancy
Ba1 0.0000 0.0000 0.0000 1
Al1 0.3333 0.6667 0.2553 1
Al2 0.6667 0.3333 0.7447 1
Tl1 0.0000 0.0000 0.5000 1
Br1 0.0089 0.3970 0.1749 1
Br2 0.3333 0.6667 0.4823 1
Br3 0.3882 0.9911 0.1749 1
Br4 0.3970 0.3882 0.8251 1
Br5 0.6030 0.6118 0.1749 1
Br6 0.6118 0.0089 0.8251 1
Br7 0.6667 0.3333 0.5177 1
Br8 0.9911 0.6030 0.8251 1
```

Properties
The total magnetization is 1.0 μB/f.u. The crystal system is trigonal. The space group is No. 147. Its uncorrected formation energy is -1.165 eV/atom.


Compound: Li3CuB
Source: Alexandria
Functional: PBE
Structure: relaxed

Structure (CIF):
```
data_Li3CuB
_cell_length_a 4.4515
_cell_length_b 4.4515
_cell_length_c 4.4515
_cell_angle_alpha 90.00
_cell_angle_beta 90.00
_cell_angle_gamma 90.00
_space_group_name_H-M_alt 'P 1'
_space_group_IT_number 1
loop_
_space_group_symop_operation_xyz
'x,y,z'
loop_
_atom_site_label
_atom_site_fract_x
_atom_site_fract_y
_atom_site_fract_z
_atom_site_occupancy
Li1 0.0000 0.0000 0.5000 1
Li2 0.0000 0.5000 0.0000 1
Li3 0.5000 0.0000 0.0000 1
Cu1 0.0000 0.0000 0.0000 1
B1 0.5000 0.5000 0.5000 1
```

Properties
The total magnetization is 0.0 μB/f.u. The crystal system is cubic. The space group is No. 221. The distance to the lowest polymorph of the same formula is 357.3 meV/atom. Its formation energy is 990 meV/atom.